[1]
The following is a DFT calculation (PBE) of a relaxed Pa2Ge2Ru crystal.

Calculated values
Polymorph energy (0 for the lowest one) ... 0.0 meV/atom
Electronic total energy ... -0.5918 Ry/atom
Energy of formation ... -0.55 eV/atom
N(E_F) ... 23.4 states/eV per cell

abc: 10.9160 3.9549 10.9227
angles: 90.00 116.55 90.00
Last column: nearest neighbours and their distance in Å.
Space group C2/m (No. 12)
One atom of each set of equivalent atoms:
Pa  0.0661  0.0000  0.3530 x4  2 Ru 2.92, 7 Ge 3.04-3.16
Pa  0.2085  0.0000  0.1073 x4  2 Ru 2.76, 4 Ge 2.94-3.09
Ge  0.0199  0.5000  0.8865 x4  1 Ru 2.52, 1 Ge 2.70
Ge  0.1238  0.5000  0.5837 x4  1 Ge 2.50, 2 Ru 2.54
Ru  0.2272  0.5000  0.2910 x4  3 Ge 2.52-2.54, 2 Pa 2.76


[2]
The following is a DFT calculation (PBE) of a relaxed K3ThSc2Te6 crystal.

Calculated values
Raw formation energy ... -1.228 eV per atom
Electronic total energy ... -0.3489 Ry/atom
N(E_F) ... 11.0 states/eV per cell

abc: 7.5838 13.1384 8.6673
angles: 90.00 107.03 90.00
Last column: nearest neighbours and their distance in Å.
Space group C2/m (No. 12)
One atom of each set of equivalent atoms:
K  0.0000  0.0000  0.0000 x2  6 Te 3.44-3.55
K  0.0000  0.3378  0.0000 x4  6 Te 3.47-3.56
Th  0.0000  0.5000  0.5000 x2  6 Te 3.14
Sc  0.0000  0.1673  0.5000 x4  6 Te 3.00-3.01
Te  0.2199  0.0000  0.7045 x4  2 Sc 3.00, 1 Th 3.14
Te  0.2429  0.3260  0.7060 x8  2 Sc 3.00-3.01, 1 Th 3.14


[3]
The following is a DFT calculation (PBE) of a relaxed Ca2CuBr crystal.

Calculated values
Raw formation energy ... -0.461 eV per atom
Polymorph energy (0 for the lowest one) ... 261.0 meV/atom
Electronic total energy ... -0.2134 Ry/atom
N(E_F) ... 4.1 states/eV per cell

abc: 4.2220 4.2220 12.6769
angles: 90.00 90.00 90.00
Last column: nearest neighbours and their distance in Å.
Space group I-4m2 (No. 119)
One atom of each set of equivalent atoms:
Ca  0.0000  0.0000  0.0000 x2  4 Br 2.99
Ca  0.0000  0.5000  0.2500 x2  4 Cu 2.99
Cu  0.0000  0.5000  0.7500 x2  4 Ca 2.99
Br  0.0000  0.0000  0.5000 x2  4 Ca 2.99


[4]
The following is a DFT calculation (PBE) of a relaxed Zn3BCl crystal.

Calculated values
Raw formation energy ... 1.445 eV per atom
Polymorph energy (0 for the lowest one) ... 1510.7 meV/atom
Electronic total energy ... -0.0753 Ry/atom
N(E_F) ... 1.7 states/eV per cell

abc: 4.9756 4.9756 4.9756
angles: 90.00 90.00 90.00
Last column: nearest neighbours and their distance in Å.
Space group Pm-3m (No. 221)
One atom of each set of equivalent atoms:
Zn  0.0000  0.0000  0.5000 x3  2 Cl 2.49
B  0.5000  0.5000  0.5000 x1  12 Zn 3.52
Cl  0.0000  0.0000  0.0000 x1  6 Zn 2.49